1.
Density functional theory data (PBE) for a relaxed structure of UCoSi2.

The structure in POSCAR format:
```
UCoSi2
1.0
1.953 -8.091 0.000
1.953 8.091 0.000
0.000 0.000 3.946
U Co Si
2 2 4
Direct
0.106 0.894 0.750
0.894 0.106 0.250
0.325 0.675 0.750
0.675 0.325 0.250
0.250 0.750 0.250
0.462 0.538 0.750
0.538 0.462 0.250
0.750 0.250 0.750
```

Computed properties:
energy relative to the elements, uncorrected: -202 kJ/mol of formula units
V: 15.59 Å³/atom
total energy: -7.83 eV/atom

2.
Density functional theory data (PBE) for a relaxed structure of MgNbCr.

The structure in POSCAR format:
```
MgNbCr
1.0
5.055 -1.513 0.000
5.055 1.513 0.000
-2.468 0.000 6.536
Mg Nb Cr
2 2 2
Direct
0.013 0.013 0.211
0.987 0.987 0.789
0.337 0.337 0.401
0.663 0.663 0.599
0.292 0.292 0.919
0.708 0.708 0.081
```

Computed properties:
V: 16.66 Å³/atom
total energy: -6.84 eV/atom
DFT formation energy: 0.260 eV/atom
offset from the most stable computed form: 20 meV per atom

3.
Density functional theory data (PBE) for a relaxed structure of Sm2GdTe.

The structure in POSCAR format:
```
Sm2GdTe
1.0
1.953 1.128 10.755
-1.953 1.128 10.755
0.000 -2.256 10.755
Sm Gd Te
2 1 1
Direct
0.102 0.102 0.102
0.898 0.898 0.898
0.000 0.000 0.000
0.500 0.500 0.500
```

Computed properties:
energy relative to the elements, uncorrected: -112 kJ/mol of formula units
V: 35.54 Å³/atom
total energy: -6.95 eV/atom
offset from the most stable computed form: 296 meV per atom

4.
Density functional theory data (PBE) for a relaxed structure of KNa2In2.

The structure in POSCAR format:
```
KNa2In2
1.0
2.675 -4.240 0.000
2.675 4.240 0.000
0.000 0.000 8.399
K Na In
1 2 2
Direct
0.000 0.000 0.000
0.500 0.500 0.299
0.500 0.500 0.701
0.170 0.830 0.500
0.830 0.170 0.500
```

Computed properties:
V: 38.11 Å³/atom
total energy: -1.88 eV/atom
DFT formation energy: -0.039 eV/atom
offset from the most stable computed form: 25 meV per atom

5.
Density functional theory data (PBE) for a relaxed structure of RbLaTaGeTe.

The structure in POSCAR format:
```
RbLaTaGeTe
1.0
5.390 -2.209 0.000
5.390 2.209 0.000
-1.851 0.000 8.210
Rb La Ta Ge Te
1 1 1 1 1
Direct
0.000 0.000 0.000
0.782 0.782 0.468
0.063 0.063 0.483
0.480 0.480 0.352
0.249 0.249 0.760
```

Computed properties:
energy relative to the elements, uncorrected: -89 kJ/mol of formula units
V: 39.10 Å³/atom
total energy: -5.29 eV/atom
offset from the most stable computed form: 189 meV per atom

6.
Density functional theory data (PBE) for a relaxed structure of Pa2Co2H.

The structure in POSCAR format:
```
Pa2Co2H
1.0
5.235 -1.785 0.000
5.235 1.785 0.000
-3.404 0.000 7.999
Pa Co H
4 4 2
Direct
0.108 0.108 0.426
0.312 0.312 0.868
0.688 0.688 0.132
0.892 0.892 0.574
0.044 0.044 0.883
0.373 0.373 0.300
0.627 0.627 0.700
0.956 0.956 0.117
0.467 0.467 0.169
0.533 0.533 0.831
```

Computed properties:
V: 14.95 Å³/atom
total energy: -7.56 eV/atom

7.
Density functional theory data (PBE) for a relaxed structure of SrZrCo2.

The structure in POSCAR format:
```
SrZrCo2
1.0
3.308 0.000 0.000
0.000 3.308 0.000
0.000 0.000 7.080
Sr Zr Co
1 1 2
Direct
0.000 0.000 0.000
0.000 0.000 0.500
0.500 0.500 0.309
0.500 0.500 0.691
```

Computed properties:
V: 19.37 Å³/atom
total energy: -6.01 eV/atom
DFT formation energy: 0.103 eV/atom
offset from the most stable computed form: 40 meV per atom

8.
Density functional theory data (PBE) for a relaxed structure of TcSn2Mo.

The structure in POSCAR format:
```
TcSn2Mo
1.0
5.352 0.000 0.000
-1.364 5.331 0.000
-0.690 -1.376 5.434
Tc Sn Mo
2 4 2
Direct
0.120 0.462 0.197
0.880 0.538 0.803
0.277 0.991 0.149
0.340 0.402 0.721
0.660 0.598 0.279
0.723 0.009 0.851
0.149 0.840 0.590
0.851 0.160 0.410
```

Computed properties:
V: 19.38 Å³/atom
total energy: -7.14 eV/atom
DFT formation energy: 0.162 eV/atom
offset from the most stable computed form: 170 meV per atom

9.
Density functional theory data (PBE) for a relaxed structure of Pm5Ho2Sc.

The structure in POSCAR format:
```
Pm5Ho2Sc
1.0
-4.564 4.564 6.231
4.564 -4.564 6.231
4.564 4.564 -6.231
Pm Ho Sc
10 4 2
Direct
0.000 0.000 0.000
0.014 0.514 0.196
0.183 0.986 0.500
0.317 0.817 0.804
0.486 0.683 0.500
0.500 0.500 0.000
0.514 0.317 0.500
0.683 0.183 0.196
0.817 0.014 0.500
0.986 0.486 0.804
0.144 0.356 0.500
0.356 0.856 0.213
0.644 0.144 0.787
0.856 0.644 0.500
0.250 0.250 0.000
0.750 0.750 0.000
```

Computed properties:
V: 32.45 Å³/atom
total energy: -4.79 eV/atom
DFT formation energy: 0.117 eV/atom
offset from the most stable computed form: 83 meV per atom

10.
Density functional theory data (PBE) for a relaxed structure of BaAgMo2.

The structure in POSCAR format:
```
BaAgMo2
1.0
-2.340 2.340 10.366
2.340 -2.340 10.366
2.340 2.340 -10.366
Ba Ag Mo
2 2 4
Direct
0.000 0.000 0.000
0.750 0.250 0.500
0.250 0.750 0.500
0.500 0.500 0.000
0.352 0.625 0.227
0.375 0.602 0.727
0.398 0.125 0.773
0.875 0.648 0.273
```

Computed properties:
V: 28.39 Å³/atom
total energy: -5.48 eV/atom
DFT formation energy: 1.133 eV/atom
offset from the most stable computed form: 608 meV per atom

11.
Density functional theory data (PBE) for a relaxed structure of TaSbIr4.

The structure in POSCAR format:
```
TaSbIr4
1.0
0.000 3.707 3.707
3.707 0.000 3.707
3.707 3.707 0.000
Ta Sb Ir
1 1 4
Direct
0.000 0.000 0.000
0.250 0.250 0.250
0.124 0.625 0.625
0.625 0.124 0.625
0.625 0.625 0.124
0.625 0.625 0.625
```

Computed properties:
energy relative to the elements, uncorrected: 101 kJ/mol of formula units
V: 16.99 Å³/atom
total energy: -8.39 eV/atom

12.
Density functional theory data (PBE) for a relaxed structure of MgSc2Ta.

The structure in POSCAR format:
```
MgSc2Ta
1.0
1.570 0.906 10.290
-1.570 0.906 10.290
0.000 -1.813 10.290
Mg Sc Ta
1 2 1
Direct
0.000 0.000 0.000
0.245 0.245 0.245
0.755 0.755 0.755
0.500 0.500 0.500
```

Computed properties:
V: 21.97 Å³/atom
total energy: -6.41 eV/atom
DFT formation energy: 0.113 eV/atom